Entry 1:
Computed, not measured: Li2AcHg5Pb after structural relaxation at the PBE level of DFT.

Geometry as POSCAR:
```
Li2AcHg5Pb
1.0
5.2568 0.0000 0.0000
0.0000 5.2568 0.0000
0.0000 0.0000 8.2027
Li Ac Hg Pb
2 1 5 1
Direct
0.0000 0.0000 0.1667 Li
0.0000 0.0000 0.8333 Li
0.5000 0.5000 0.5000 Ac
0.0000 0.0000 0.5000 Hg
0.0000 0.5000 0.2392 Hg
0.0000 0.5000 0.7608 Hg
0.5000 0.0000 0.2392 Hg
0.5000 0.0000 0.7608 Hg
0.5000 0.5000 0.0000 Pb
```

Output
SG: P4/mmm
Energy of formation in eV per atom: -0.273
Density in kg/m3: 10630

---

Entry 2:
Computed, not measured: YZrAs2 after structural relaxation at the PBE level of DFT.

Geometry as POSCAR:
```
YZrAs2
1.0
-3.1462 3.1462 6.1965
3.1462 -3.1462 6.1965
3.1462 3.1462 -6.1965
Y Zr As
2 2 4
Direct
0.0000 0.0000 0.0000 Y
0.7500 0.2500 0.5000 Y
0.2500 0.7500 0.5000 Zr
0.5000 0.5000 0.0000 Zr
0.1485 0.6250 0.0235 As
0.3750 0.3985 0.5235 As
0.6015 0.1250 0.9765 As
0.8750 0.8515 0.4765 As
```

Output
SG: I-42d
Energy relative to the lowest polymorph listed for this composition in meV/atom: 604
Energy of formation in eV per atom: -0.722
Density in kg/m3: 4467